BaBiAsPt2 | OQMD via LeMat-Bulk | PBE-GGA | optimized geometry; symmetry = No. 11; total DFT energy (no corrections) = -5.21 eV per atom; density = 11151 kg/m3
1.0
4.802 0.000 0.000
0.000 4.695 0.000
-0.047 0.000 10.720
Bi As Ba Pt
2 2 2 4
direct
0.250 0.750 0.498
0.750 0.250 0.502
0.717 0.750 0.109
0.283 0.250 0.891
0.258 0.250 0.229
0.742 0.750 0.771
0.751 0.750 0.342
0.808 0.250 0.003
0.192 0.750 0.997
0.249 0.250 0.658

***

Ba2ZnBiAs | OQMD via LeMat-Bulk | PBE-GGA | optimized geometry; symmetry = No. 36; total DFT energy (no corrections) = -3.57 eV per atom; density = 5874 kg/m3
1.0
2.345 -8.793 0.000
2.345 8.793 0.000
0.000 0.000 8.553
As Zn Ba Bi
2 2 4 2
direct
0.341 0.659 0.512
0.659 0.341 0.012
0.093 0.907 0.084
0.907 0.093 0.584
0.536 0.464 0.733
0.464 0.536 0.233
0.724 0.276 0.370
0.276 0.724 0.870
0.928 0.072 0.935
0.072 0.928 0.435

***

BaCdAs2 | OQMD via LeMat-Bulk | PBE-GGA | optimized geometry; symmetry = No. 63; total DFT energy (no corrections) = -3.66 eV per atom; density = 6030 kg/m3
1.0
0.763 6.772 -5.978
-4.147 -7.687 2.426
-3.436 2.670 2.586
As Ba Cd
4 2 2
direct
0.025 0.975 0.250
0.751 0.249 0.250
0.975 0.025 0.750
0.249 0.751 0.750
0.604 0.396 0.750
0.396 0.604 0.250
0.179 0.821 0.250
0.821 0.179 0.750

***

BaCdAs2 | OQMD via LeMat-Bulk | PBE-GGA | optimized geometry; symmetry = No. 216; total DFT energy (no corrections) = -3.15 eV per atom; density = 6209 kg/m3
1.0
-0.647 -3.277 4.149
-4.171 -3.310 0.154
0.735 -5.241 -0.606
As Ba Cd
2 1 1
direct
0.000 0.000 0.000
0.750 0.750 0.750
0.500 0.500 0.500
0.250 0.250 0.250

***

Ba2Cd2SbAsF2 | OQMD via LeMat-Bulk | PBE-GGA | optimized geometry; symmetry = No. 99; total DFT energy (no corrections) = -4.09 eV per atom; density = 6301 kg/m3
1.0
4.497 0.000 0.000
0.000 4.497 0.000
0.000 0.000 9.567
Cd Ba F As Sb
2 2 2 1 1
direct
0.500 0.000 0.010
0.000 0.500 0.010
0.000 0.000 0.644
0.500 0.500 0.344
0.500 0.000 0.494
0.000 0.500 0.494
0.000 0.000 0.187
0.500 0.500 0.817

***

Ba4Li2Cd3As6 | OQMD via LeMat-Bulk | PBE-GGA | optimized geometry; symmetry = No. 63; total DFT energy (no corrections) = -3.65 eV per atom; density = 5472 kg/m3
1.0
-4.091 5.295 8.107
2.169 -8.658 -5.553
14.768 -1.860 8.667
Li As Cd Ba
4 12 6 8
direct
0.064 0.936 0.750
0.350 0.650 0.750
0.650 0.350 0.250
0.936 0.064 0.250
0.280 0.720 0.883
0.939 0.061 0.486
0.932 0.068 0.750
0.619 0.381 0.750
0.061 0.939 0.514
0.381 0.619 0.250
0.280 0.720 0.617
0.068 0.932 0.250
0.720 0.280 0.117
0.939 0.061 0.014
0.720 0.280 0.383
0.061 0.939 0.986
0.797 0.203 0.250
0.851 0.149 0.623
0.203 0.797 0.750
0.851 0.149 0.877
0.149 0.851 0.377
0.149 0.851 0.123
0.673 0.327 0.930
0.327 0.673 0.070
0.517 0.483 0.378
0.517 0.483 0.122
0.483 0.517 0.622
0.673 0.327 0.570
0.483 0.517 0.878
0.327 0.673 0.430

***

Ba2MgCdAs4 | OQMD via LeMat-Bulk | PBE-GGA | optimized geometry; symmetry = No. 119; total DFT energy (no corrections) = -3.84 eV per atom; density = 5355 kg/m3
1.0
3.569 -3.988 11.212
-1.495 -0.863 12.303
-2.671 -0.092 -12.132
Cd Ba As Mg
1 2 4 1
direct
0.000 0.000 0.000
0.859 0.359 0.500
0.641 0.141 0.500
0.071 0.571 0.500
0.429 0.929 0.500
0.250 0.250 0.000
0.750 0.750 0.000
0.500 0.500 0.000

***

BaMgCdAs2 | OQMD via LeMat-Bulk | PBE-GGA | optimized geometry; symmetry = No. 156; total DFT energy (no corrections) = -3.54 eV per atom; density = 5064 kg/m3
1.0
4.544 0.000 0.000
-2.272 3.936 0.000
0.000 0.000 7.772
As Mg Cd Ba
2 1 1 1
direct
0.667 0.333 0.733
0.333 0.667 0.267
0.333 0.667 0.623
0.667 0.333 0.374
0.000 0.000 0.002

***

BaNdCdAs2 | OQMD via LeMat-Bulk | PBE-GGA | optimized geometry; symmetry = No. 36; total DFT energy (no corrections) = -4.31 eV per atom; density = 6160 kg/m3
1.0
-3.553 -2.595 8.306
2.031 -1.522 -9.050
6.409 -2.712 1.894
As Ba Nd Cd
4 2 2 2
direct
0.948 0.052 0.552
0.669 0.331 0.560
0.052 0.948 0.052
0.331 0.669 0.060
0.303 0.697 0.571
0.697 0.303 0.071
0.472 0.528 0.258
0.528 0.472 0.758
0.102 0.898 0.426
0.898 0.102 0.926

***

BaCdAsO | OQMD via LeMat-Bulk | PBE-GGA | optimized geometry; symmetry = No. 26; total DFT energy (no corrections) = -4.08 eV per atom; density = 5643 kg/m3
1.0
3.672 0.000 0.000
0.000 6.840 0.000
0.000 0.000 7.981
O As Ba Cd
2 2 2 2
direct
0.500 0.152 0.907
0.500 0.848 0.407
0.000 0.663 0.791
0.000 0.337 0.291
0.500 0.139 0.594
0.500 0.861 0.094
0.000 0.334 0.962
0.000 0.666 0.462

***

BaCdAsO | OQMD via LeMat-Bulk | PBE-GGA | optimized geometry; symmetry = No. 129; total DFT energy (no corrections) = -3.29 eV per atom; density = 4931 kg/m3
1.0
3.402 -3.402 0.000
3.402 3.402 0.000
0.000 0.000 9.911
As O Ba Cd
2 2 2 2
direct
0.750 0.750 0.299
0.250 0.250 0.701
0.750 0.250 0.000
0.250 0.750 0.000
0.250 0.750 0.500
0.750 0.250 0.500
0.250 0.250 0.980
0.750 0.750 0.020

***

BaCdAsO | OQMD via LeMat-Bulk | PBE-GGA | optimized geometry; symmetry = No. 26; total DFT energy (no corrections) = -4.25 eV per atom; density = 5884 kg/m3
1.0
4.171 0.000 0.000
0.000 7.582 0.000
0.000 0.000 6.080
Ba O Cd As
2 2 2 2
direct
0.000 0.640 0.009
0.000 0.360 0.509
0.500 0.511 0.762
0.500 0.489 0.262
0.500 0.265 0.005
0.500 0.735 0.505
0.000 0.056 0.978
0.000 0.944 0.478

***

Which formula does entry 3 have?
BaCdAs2

***

Please write out number 5 again, unchanged.
Ba2Cd2SbAsF2 | OQMD via LeMat-Bulk | PBE-GGA | optimized geometry; symmetry = No. 99; total DFT energy (no corrections) = -4.09 eV per atom; density = 6301 kg/m3
1.0
4.497 0.000 0.000
0.000 4.497 0.000
0.000 0.000 9.567
Cd Ba F As Sb
2 2 2 1 1
direct
0.500 0.000 0.010
0.000 0.500 0.010
0.000 0.000 0.644
0.500 0.500 0.344
0.500 0.000 0.494
0.000 0.500 0.494
0.000 0.000 0.187
0.500 0.500 0.817

***

Look up the total DFT energy (no corrections) of the first one.
-5.21 eV per atom